A relaxed PuScAu crystal. Source: the Open Quantum Materials Database, functional PBE.

Cell lengths 6.6423, 6.6423, 6.6423 Å; angles 90.00, 90.00, 90.00 degrees
Closest atoms and distances in Å follow each position.
Atoms (fractional coordinates):
Pu: 0.0000 0.0000 0.0000  4 Sc 2.88
Pu: 0.0000 0.5000 0.5000  4 Sc 2.88
Pu: 0.5000 0.0000 0.5000  4 Sc 2.88
Pu: 0.5000 0.5000 0.0000  4 Sc 2.88
Sc: 0.2500 0.2500 0.7500  4 Pu 2.88, 4 Au 2.88
Sc: 0.2500 0.7500 0.2500  4 Pu 2.88, 4 Au 2.88
Sc: 0.7500 0.2500 0.2500  4 Pu 2.88, 4 Au 2.88
Sc: 0.7500 0.7500 0.7500  4 Pu 2.88, 4 Au 2.88
Au: 0.0000 0.0000 0.5000  4 Sc 2.88
Au: 0.0000 0.5000 0.0000  4 Sc 2.88
Au: 0.5000 0.0000 0.0000  4 Sc 2.88
Au: 0.5000 0.5000 0.5000  4 Sc 2.88

Properties
- Offset from the most stable computed form: 0.0000 eV per atom
- Total magnetic moment: 6.178 μB per formula unit
- Crystal system: cubic
- E_form: 0.0816 eV per atom